(1)
GGA-PBE Na3SeI, relaxed; energy above the most stable polymorph in this dataset = 0.030 eV per atom; total magnetic moment = 0.0 μB/f.u.; final energy = -2.838 eV/atom; ΔE_f (raw) = -1.040 eV per atom; SG = No. 63
1.0
-2.604 2.026 3.944
-7.783 -2.516 -3.846
0.569 -10.878 5.964
Na Se I
12 4 4
Cartesian
-3.360 -8.708 8.958
-3.642 -4.702 3.362
-3.867 -0.389 0.998
-6.232 -6.972 -0.531
-6.458 -2.660 -2.896
-6.176 -6.666 2.700
-5.950 -10.979 5.064
-3.585 -4.396 6.593
-1.183 -1.714 3.452
-3.442 -9.409 2.562
-8.634 -9.654 2.610
-6.376 -1.959 3.500
-1.302 1.013 1.972
-3.607 -6.697 1.059
-3.892 -1.258 -1.923
-1.017 -4.426 4.954
-6.393 -3.398 0.876
-8.617 -8.215 5.234
-3.424 -7.970 5.186
-1.200 -3.153 0.828



(2)
GGA-PBE NaSeI2, relaxed; energy above the most stable polymorph in this dataset = 0.000 eV per atom; total magnetic moment = 0.0 μB/f.u.; final energy = -2.231 eV/atom; ΔE_f (raw) = -0.255 eV per atom; SG = No. 122
1.0
6.071 0.000 0.000
0.000 6.071 0.000
3.036 3.036 9.126
I Na Se
4 2 2
Cartesian
4.867 1.518 2.282
1.205 4.554 2.282
4.554 4.241 6.845
7.589 7.902 6.845
3.036 3.036 0.000
3.036 6.071 4.563
0.000 0.000 0.000
6.071 3.036 4.563



(3)
GGA-PBE NaSeI2, relaxed; energy above the most stable polymorph in this dataset = 0.203 eV per atom; total magnetic moment = 2.9 μB/f.u.; final energy = -2.028 eV/atom; ΔE_f (raw) = -0.052 eV per atom; SG = No. 225
1.0
5.150 -2.532 -0.146
1.578 -3.544 4.232
0.397 -5.643 -0.980
I Na Se
2 1 1
Cartesian
1.781 -2.930 0.776
5.344 -8.790 2.329
0.000 0.000 0.000
3.563 -5.860 1.553



(4)
GGA-PBE NaSeI3, relaxed; energy above the most stable polymorph in this dataset = 0.697 eV per atom; total magnetic moment = 4.0 μB/f.u.; final energy = -1.651 eV/atom; ΔE_f (raw) = 0.240 eV per atom; SG = No. 221
1.0
6.010 0.000 0.000
0.000 6.010 0.000
0.000 0.000 6.010
I Na Se
3 1 1
Cartesian
0.000 3.005 0.000
0.000 0.000 3.005
3.005 0.000 0.000
0.000 0.000 0.000
3.005 3.005 3.005